*A*
! LaTbCu4 | Alexandria | GGA-PBE | relaxed; values from VASP
&SYSTEM
  ibrav = 0, nat = 6, ntyp = 3
/
ATOMIC_SPECIES
La 138.91 La.upf
Cu 63.55 Cu.upf
Tb 158.93 Tb.upf
CELL_PARAMETERS angstrom
-1.314 2.904 2.331
-1.190 -2.670 2.655
8.155 0.237 0.955
ATOMIC_POSITIONS angstrom
La 2.857 -1.158 3.052
Cu 1.653 1.570 2.320
Cu -0.172 0.172 3.033
Cu 3.937 1.687 3.460
Cu 5.824 0.298 2.910
Tb 0.000 0.000 0.000
! Total magnetization in μB/f.u.: 0.00
! DOS at the Fermi energy in states/eV per atom: 0.54

*B*
! LaTbCu4 | Alexandria | GGA-PBE | relaxed; values from VASP
&SYSTEM
  ibrav = 0, nat = 6, ntyp = 3
/
ATOMIC_SPECIES
Tb 158.93 Tb.upf
Cu 63.55 Cu.upf
La 138.91 La.upf
CELL_PARAMETERS angstrom
-0.854 0.414 -5.266
-3.195 -3.506 -2.476
-4.783 1.562 -1.820
ATOMIC_POSITIONS angstrom
Tb -2.208 -0.382 -2.391
Cu -3.928 0.779 -4.739
Cu -5.507 -0.954 -5.963
Cu -3.143 -1.726 -5.063
Cu -5.085 -1.159 -3.360
La 0.000 0.000 0.000
! Total magnetization in μB/f.u.: 0.00
! DOS at the Fermi energy in states/eV per atom: 0.76

Stability summary: most stable *A*, least stable *B*.

*A*
! LaCu3Tc | Alexandria | GGA-PBE | relaxed; values from VASP
&SYSTEM
  ibrav = 0, nat = 5, ntyp = 3
/
ATOMIC_SPECIES
Cu 63.55 Cu.upf
Tc 98.00 Tc.upf
La 138.91 La.upf
CELL_PARAMETERS angstrom
4.844 0.000 0.000
0.000 4.844 0.000
0.000 0.000 4.844
ATOMIC_POSITIONS angstrom
Cu 0.000 0.000 2.422
Cu 2.422 0.000 0.000
Cu 0.000 2.422 0.000
Tc 2.422 2.422 2.422
La 0.000 0.000 0.000
! Total magnetization in μB/f.u.: 0.00
! DOS at the Fermi energy in states/eV per atom: 1.85

*B*
! LaCu3Tc | Alexandria | GGA-PBE | relaxed; values from VASP
&SYSTEM
  ibrav = 0, nat = 5, ntyp = 3
/
ATOMIC_SPECIES
Cu 63.55 Cu.upf
Tc 98.00 Tc.upf
La 138.91 La.upf
CELL_PARAMETERS angstrom
-1.084 -0.620 4.526
-3.373 -3.029 -1.223
3.082 -3.534 0.254
ATOMIC_POSITIONS angstrom
Cu -0.542 -0.310 2.263
Cu -1.686 -1.515 -0.612
Cu 1.541 -1.767 0.127
Tc 0.000 0.000 0.000
La -0.688 -3.592 1.778
! Total magnetization in μB/f.u.: 0.00
! DOS at the Fermi energy in states/eV per atom: 1.01

Stability summary: most stable *B*, least stable *A*.